Compound: Sm6Si2SbS3
Source: Alexandria via LeMat-Bulk
Functional: PBE-GGA
Structure: relaxed

Results
* crystal system: monoclinic
* Fermi-level density of states: 2.26 states/eV per cell
* formation energy (no corrections): -1435 meV/atom
* total magnetic moment: 0.0 Bohr magnetons per cell

a b c (Å): 9.315 9.315 8.362
angles (deg): 102.39 102.39 25.92
Fractional positions:
Sm 0.002 0.002 0.266
Sm 0.327 0.327 0.908
Sm 0.332 0.332 0.417
Sm 0.668 0.668 0.583
Sm 0.673 0.673 0.092
Sm 0.998 0.998 0.734
Si 0.167 0.167 0.335
Si 0.833 0.833 0.665
Sb 0.500 0.500 0.000
S 0.165 0.165 0.834
S 0.500 0.500 0.500
S 0.835 0.835 0.166

***

Compound: Nb2Si2Ge
Source: Alexandria via LeMat-Bulk
Functional: PBE-GGA
Structure: relaxed

Results
* crystal system: tetragonal
* Fermi-level density of states: 3.05 states/eV per cell
* formation energy (no corrections): -303 meV/atom
* energy relative to the lowest polymorph listed for this composition: 0 meV/atom
* total magnetic moment: 0.0 Bohr magnetons per cell

a b c (Å): 6.900 6.900 3.531
angles (deg): 90.00 90.00 90.00
Fractional positions:
Nb 0.160 0.340 0.000
Nb 0.340 0.840 0.000
Nb 0.660 0.160 0.000
Nb 0.840 0.660 0.000
Si 0.133 0.633 0.500
Si 0.367 0.133 0.500
Si 0.633 0.867 0.500
Si 0.867 0.367 0.500
Ge 0.000 0.000 0.000
Ge 0.500 0.500 0.000

***

Compound: GaFe5C
Source: Alexandria via LeMat-Bulk
Functional: PBE-GGA
Structure: relaxed

Results
* crystal system: tetragonal
* Fermi-level density of states: 4.94 states/eV per cell
* uncorrected energy: -0.5645 Ry per atom
* total magnetic moment: 10.8 Bohr magnetons per cell

a b c (Å): 3.497 3.497 6.303
angles (deg): 90.00 90.00 90.00
Fractional positions:
Ga 0.000 0.000 0.000
Fe 0.000 0.500 0.308
Fe 0.000 0.500 0.692
Fe 0.500 0.000 0.308
Fe 0.500 0.000 0.692
Fe 0.500 0.500 0.000
C 0.500 0.500 0.500

***

Compound: Sr3Cd7Ag2
Source: Alexandria via LeMat-Bulk
Functional: PBE-GGA
Structure: relaxed

Results
* crystal system: trigonal
* Fermi-level density of states: 7.12 states/eV per cell
* uncorrected energy: -0.1246 Ry per atom
* total magnetic moment: 0.0 Bohr magnetons per cell

a b c (Å): 10.385 10.385 10.385
angles (deg): 34.17 34.17 34.17
Fractional positions:
Sr 0.000 0.000 0.000
Sr 0.143 0.143 0.143
Sr 0.857 0.857 0.857
Cd 0.076 0.583 0.583
Cd 0.417 0.417 0.924
Cd 0.417 0.924 0.417
Cd 0.500 0.500 0.500
Cd 0.583 0.076 0.583
Cd 0.583 0.583 0.076
Cd 0.924 0.417 0.417
Ag 0.334 0.334 0.334
Ag 0.666 0.666 0.666

***

Compound: Ti3CrGa3
Source: Alexandria via LeMat-Bulk
Functional: PBE-GGA
Structure: relaxed

Results
* crystal system: monoclinic
* Fermi-level density of states: 12.49 states/eV per cell
* uncorrected energy: -0.4539 Ry per atom
* total magnetic moment: 4.8 Bohr magnetons per cell

a b c (Å): 6.264 6.264 5.801
angles (deg): 90.02 90.02 90.09
Fractional positions:
Ti 0.162 0.838 0.000
Ti 0.191 0.191 0.500
Ti 0.254 0.746 0.500
Ti 0.746 0.254 0.500
Ti 0.809 0.809 0.500
Ti 0.838 0.162 0.000
Cr 0.253 0.253 0.001
Cr 0.747 0.747 0.999
Ga 0.000 0.500 0.240
Ga 0.000 0.500 0.760
Ga 0.499 0.499 0.761
Ga 0.500 0.000 0.240
Ga 0.500 0.000 0.760
Ga 0.501 0.501 0.239

***

Compound: LiIn2Rh2
Source: Alexandria via LeMat-Bulk
Functional: PBE-GGA
Structure: relaxed

Results
* crystal system: tetragonal
* Fermi-level density of states: 4.00 states/eV per cell
* energy relative to the lowest polymorph listed for this composition: 34 meV/atom
* total magnetic moment: 0.0 Bohr magnetons per cell

a b c (Å): 7.658 7.658 3.091
angles (deg): 90.00 90.00 90.00
Fractional positions:
Li 0.000 0.000 0.000
Li 0.500 0.500 0.000
In 0.151 0.349 0.000
In 0.349 0.849 0.000
In 0.651 0.151 0.000
In 0.849 0.651 0.000
Rh 0.146 0.646 0.500
Rh 0.354 0.146 0.500
Rh 0.646 0.854 0.500
Rh 0.854 0.354 0.500

***

Compound: Tb2Tm5AgRu2
Source: Alexandria via LeMat-Bulk
Functional: PBE-GGA
Structure: relaxed

Results
* crystal system: tetragonal
* Fermi-level density of states: 21.04 states/eV per cell
* uncorrected energy: -0.4128 Ry per atom
* total magnetic moment: 0.0 Bohr magnetons per cell

a b c (Å): 11.576 11.576 3.791
angles (deg): 90.00 90.00 90.00
Fractional positions:
Tb 0.187 0.313 0.000
Tb 0.313 0.813 0.000
Tb 0.687 0.187 0.000
Tb 0.813 0.687 0.000
Tm 0.000 0.500 0.500
Tm 0.059 0.790 0.500
Tm 0.210 0.059 0.500
Tm 0.290 0.559 0.500
Tm 0.441 0.290 0.500
Tm 0.500 0.000 0.500
Tm 0.559 0.710 0.500
Tm 0.710 0.441 0.500
Tm 0.790 0.941 0.500
Tm 0.941 0.210 0.500
Ag 0.000 0.000 0.000
Ag 0.500 0.500 0.000
Ru 0.132 0.632 0.000
Ru 0.368 0.132 0.000
Ru 0.632 0.868 0.000
Ru 0.868 0.368 0.000

***

Compound: CsZn2GaNi
Source: Alexandria via LeMat-Bulk
Functional: PBE-GGA
Structure: relaxed

Results
* crystal system: tetragonal
* Fermi-level density of states: 1.46 states/eV per cell
* uncorrected energy: -0.1781 Ry per atom
* total magnetic moment: 0.0 Bohr magnetons per cell

a b c (Å): 4.974 4.974 4.716
angles (deg): 90.00 90.00 90.00
Fractional positions:
Cs 0.000 0.000 0.000
Zn 0.000 0.500 0.500
Zn 0.500 0.000 0.500
Ga 0.500 0.500 0.000
Ni 0.500 0.500 0.500